Entry 1:
VASP calculation (meta-GGA SCAN) on Sc4Si at its PBEsol-relaxed geometry.

The structure belongs to space group Im-3m (No. 229); the cell edges are 6.2089, 6.2089 and 6.2089 Å and the angles 90.00°, 90.00° and 90.00°. The distinct sites, in fractional coordinates, are Sc at (0.2500, 0.2500, 0.2500) and Si at (0.0000, 0.0000, 0.0000).


Entry 2:
VASP calculation (meta-GGA SCAN) on Sc5Si3 at its PBEsol-relaxed geometry.

The structure belongs to space group I4/mcm (No. 140); the cell edges are 10.5649, 10.5649 and 5.3205 Å and the angles 90.00°, 90.00° and 90.00°. The distinct sites, in fractional coordinates, are Sc at (0.0000, 0.5000, 0.2500), Sc at (0.0822, 0.2155, 0.0000), Si at (0.0000, 0.0000, 0.2500) and Si at (0.1597, 0.3403, 0.5000).

For the excess energy over the best structure of this formula in the dataset, the calculation gives 60 meV per atom.


Entry 3:
VASP calculation (meta-GGA SCAN) on ScSi at its PBEsol-relaxed geometry.

The structure belongs to space group R-3m (No. 166, hexagonal axes); the cell edges are 4.8338, 4.8338 and 10.3970 Å and the angles 90.00°, 90.00° and 120.00°. The distinct sites, in fractional coordinates, are Sc at (0.0000, 0.0000, 0.1363) and Si at (0.0000, 0.0000, 0.3887).


Entry 4:
VASP calculation (meta-GGA SCAN) on Sc2Si3 at its PBEsol-relaxed geometry.

The structure belongs to space group Fdd2 (No. 43); the cell edges are 8.9604, 13.5369 and 5.3137 Å and the angles 90.00°, 90.00° and 90.00°. The distinct sites, in fractional coordinates, are Sc at (0.0708, 0.3015, 0.0000), Si at (0.0000, 0.0000, 0.3545) and Si at (0.0713, 0.3810, 0.4958).


Entry 5:
VASP calculation (meta-GGA SCAN) on Sc3Si at its PBEsol-relaxed geometry.

The structure belongs to space group Pmm2 (No. 25); the cell edges are 3.1815, 4.6448 and 5.3348 Å and the angles 90.00°, 90.00° and 90.00°. The distinct sites, in fractional coordinates, are Sc at (0.0000, 0.0000, 0.0000), Sc at (0.0000, 0.5000, 0.3725), Sc at (0.5000, 0.0000, 0.5403) and Si at (0.5000, 0.5000, 0.8505).

For the excess energy over the best structure of this formula in the dataset, the calculation gives 275 meV per atom.


Entry 6:
VASP calculation (meta-GGA SCAN) on Sc5Si3 at its PBEsol-relaxed geometry.

The structure belongs to space group P6_3/mcm (No. 193); the cell edges are 7.8209, 7.8209 and 5.7448 Å and the angles 90.00°, 90.00° and 120.00°. The distinct sites, in fractional coordinates, are Sc at (0.0000, 0.2414, 0.2500), Sc at (0.3333, 0.6667, 0.0000) and Si at (0.0000, 0.3958, 0.7500).

For the excess energy over the best structure of this formula in the dataset, the calculation gives 0 meV per atom.


Entry 7:
VASP calculation (meta-GGA SCAN) on Sm2ScSi2 at its PBEsol-relaxed geometry.

The structure belongs to space group P4/mbm (No. 127); the cell edges are 7.2489, 7.2489 and 4.2851 Å and the angles 90.00°, 90.00° and 90.00°. The distinct sites, in fractional coordinates, are Sm at (0.1770, 0.3230, 0.0000), Sc at (0.0000, 0.0000, 0.5000) and Si at (0.1193, 0.6193, 0.5000).


Entry 8:
VASP calculation (meta-GGA SCAN) on SmScSi at its PBEsol-relaxed geometry.

The structure belongs to space group I4/mmm (No. 139); the cell edges are 4.2078, 4.2078 and 15.4990 Å and the angles 90.00°, 90.00° and 90.00°. The distinct sites, in fractional coordinates, are Sm at (0.0000, 0.0000, 0.1769), Sc at (0.0000, 0.5000, 0.0000) and Si at (0.0000, 0.0000, 0.3752).


Entry 9:
VASP calculation (meta-GGA SCAN) on ScSi3Sn at its PBEsol-relaxed geometry.

The structure belongs to space group Pm-3m (No. 221); the cell edges are 5.0126, 5.0126 and 5.0126 Å and the angles 90.00°, 90.00° and 90.00°. The distinct sites, in fractional coordinates, are Sc at (0.0000, 0.0000, 0.0000), Si at (0.0000, 0.5000, 0.5000) and Sn at (0.5000, 0.5000, 0.5000).

For the excess energy over the best structure of this formula in the dataset, the calculation gives 318 meV per atom.


Entry 10:
VASP calculation (meta-GGA SCAN) on ScSi3Sn at its PBEsol-relaxed geometry.

The structure belongs to space group Pm-3m (No. 221); the cell edges are 4.9408, 4.9408 and 4.9408 Å and the angles 90.00°, 90.00° and 90.00°. The distinct sites, in fractional coordinates, are Sc at (0.0000, 0.0000, 0.0000), Si at (0.0000, 0.0000, 0.5000) and Sn at (0.5000, 0.5000, 0.5000).

For the excess energy over the best structure of this formula in the dataset, the calculation gives 0 meV per atom.


Entry 11:
VASP calculation (meta-GGA SCAN) on SrScSi2 at its PBEsol-relaxed geometry.

The structure belongs to space group Imm2 (No. 44); the cell edges are 3.6718, 4.2476 and 11.8088 Å and the angles 90.00°, 90.00° and 90.00°. The distinct sites, in fractional coordinates, are Sr at (0.0000, 0.0000, 0.0000), Sc at (0.0000, 0.5000, 0.7604), Si at (0.0000, 0.0000, 0.6121) and Si at (0.0000, 0.5000, 0.2488).

For the excess energy over the best structure of this formula in the dataset, the calculation gives 0 meV per atom.


Entry 12:
VASP calculation (meta-GGA SCAN) on SrScSi2 at its PBEsol-relaxed geometry.

The structure belongs to space group I-42d (No. 122); the cell edges are 5.0226, 5.0226 and 17.8020 Å and the angles 90.00°, 90.00° and 90.00°. The distinct sites, in fractional coordinates, are Sr at (0.0000, 0.0000, 0.0000), Sc at (0.0000, 0.0000, 0.5000) and Si at (0.0843, 0.2500, 0.6250).

For the excess energy over the best structure of this formula in the dataset, the calculation gives 403 meV per atom.


Number 1: ΔE_f (raw) 0.8 eV per formula unit, M_tot 0.0 μB per formula unit. Number 2: ΔE_f (raw) -6.0 eV per formula unit, M_tot 1.6 μB per formula unit. Number 3: ΔE_f (raw) 0.1 eV per formula unit, M_tot 0.0 μB per formula unit. Number 4: ΔE_f (raw) -3.0 eV per formula unit, M_tot 0.0 μB per formula unit. Number 5: ΔE_f (raw) -0.8 eV per formula unit, M_tot 0.0 μB per formula unit. Number 6: ΔE_f (raw) -6.5 eV per formula unit, M_tot 0.0 μB per formula unit. Number 7: ΔE_f (raw) -3.9 eV per formula unit, M_tot 0.0 μB per formula unit. Number 8: ΔE_f (raw) -2.1 eV per formula unit, M_tot 0.9 μB per formula unit. Number 9: ΔE_f (raw) 6.3 eV per formula unit, M_tot 0.0 μB per formula unit. Number 10: ΔE_f (raw) 4.7 eV per formula unit, M_tot 0.0 μB per formula unit. Number 11: ΔE_f (raw) -1.6 eV per formula unit, M_tot 0.0 μB per formula unit. Number 12: ΔE_f (raw) 0.0 eV per formula unit, M_tot 0.0 μB per formula unit.